one:
First-principles (PBE-GGA) data for an optimized crystal structure of SbTe2S, as listed in Alexandria via LeMat-Bulk.

As for the density of states at the Fermi level: 3.7 states/eV/f.u. The value obtained for the total magnetization is 0.00 μB per atom.

The space group is Fm-3m (No. 225) and the conventional cell measures 7.364, 7.364 and 7.364 Å, with angles of 90.00, 90.00 and 90.00 degrees. The asymmetric unit holds Sb at (0.000, 0.000, 0.000), Te at (0.250, 0.250, 0.250) and S at (0.000, 0.000, 0.500).

***

two:
First-principles (PBE-GGA) data for an optimized crystal structure of SbTe2S, as listed in Alexandria via LeMat-Bulk.

As for the density of states at the Fermi level: 3.5 states/eV/f.u. The value obtained for the total magnetization is 0.00 μB per atom.

The space group is I-42d (No. 122) and the conventional cell measures 7.652, 7.652 and 8.464 Å, with angles of 90.00, 90.00 and 90.00 degrees. The asymmetric unit holds Sb at (0.000, 0.000, 0.000), Te at (0.232, 0.750, 0.625) and S at (0.000, 0.000, 0.500).

***

three:
First-principles (PBE-GGA) data for an optimized crystal structure of SbTe2S, as listed in Alexandria via LeMat-Bulk.

As for the density of states at the Fermi level: 2.9 states/eV/f.u. The value obtained for the total magnetization is 0.00 μB per atom.

The space group is R-3m (No. 166, hexagonal axes) and the conventional cell measures 4.2407, 4.2407 and 26.4467 Å, with angles of 90.00, 90.00 and 120.00 degrees. The asymmetric unit holds Sb at (0.0000, 0.0000, 0.0000), Te at (0.0000, 0.0000, 0.4052) and S at (0.0000, 0.0000, 0.5000).

***

Top of the stability list: three, leading by 0.051 eV/atom.